1.
VASP calculation (PBE) on crystalline MnGePPd2 at its relaxed geometry.

The value obtained for the total energy is -5.6384 eV per atom. Its energy of formation is 0.278 eV per atom. For the total magnetization, the calculation gives 0.882 μB/atom.

The structure belongs to space group P4/mmm (No. 123); the cell edges are 4.5018, 4.5018 and 4.7651 Å and the angles 90.00°, 90.00° and 90.00°. Symmetry generates all atoms from Mn at (0.0000, 0.0000, 0.0000), Ge at (0.5000, 0.5000, 0.0000), P at (0.5000, 0.5000, 0.5000) and Pd at (0.0000, 0.5000, 0.5000).

***

2.
VASP calculation (PBE) on crystalline SmZr2C at its relaxed geometry.

The value obtained for the total energy is -8.0318 eV per atom. Its energy of formation is -0.272 eV per atom. For the total magnetization, the calculation gives 0.000 μB/atom.

The structure belongs to space group R-3m (No. 166, hexagonal axes); the cell edges are 3.3414, 3.3414 and 27.2091 Å and the angles 90.00°, 90.00° and 120.00°. Symmetry generates all atoms from Sm at (0.0000, 0.0000, 0.0000), Zr at (0.0000, 0.0000, 0.1210) and C at (0.0000, 0.0000, 0.5000).

***

3.
VASP calculation (PBE) on crystalline HoTmScCd at its relaxed geometry.

The value obtained for the total energy is -4.1101 eV per atom. Its energy of formation is -0.036 eV per atom. For the total magnetization, the calculation gives 0.000 μB/atom.

The structure belongs to space group F-43m (No. 216); the cell edges are 7.4959, 7.4959 and 7.4959 Å and the angles 90.00°, 90.00° and 90.00°. Symmetry generates all atoms from Ho at (0.0000, 0.0000, 0.0000), Tm at (0.0000, 0.0000, 0.5000), Sc at (0.2500, 0.2500, 0.2500) and Cd at (0.2500, 0.2500, 0.7500).

***

Look up the energy of formation of the first one.
0.278 eV per atom

***

Among the records above, which one has the highest energy of formation?
MnGePPd2

***

Which of these has the highest energy of formation?
MnGePPd2

***

Which value of energy of formation does entry 1 give?
0.278 eV per atom